1.
4
Lattice="-3.925 -1.384 1.934 -3.977 0.570 -2.218 -2.230 -3.640 -1.685" Properties=species:S:1:pos:R:3 comment="Ti2BeI, relaxed, DFT GGA-PBE" raw_formation_energy_ev_per_atom=0.491 total_energy_ev_per_atom=-4.775 de_polymorph_ev_per_atom=0.0000 pbc="T T T"
Be 0.000 0.000 0.000
I -5.066 -2.227 -0.985
Ti -2.533 -1.114 -0.492
Ti -7.599 -3.341 -1.477


2.
5
Lattice="-2.175 -5.156 -0.131 4.066 -1.628 -3.394 3.120 -1.428 4.423" Properties=species:S:1:pos:R:3 comment="La2TlTcBr, relaxed, DFT GGA-PBE" raw_formation_energy_ev_per_atom=0.583 total_energy_ev_per_atom=-4.269 pbc="T T T"
La -1.087 -2.578 -0.066
La 1.560 -0.714 2.211
Tl 2.033 -0.814 -1.697
Tc 2.506 -4.106 0.449
Br 0.000 0.000 0.000